1.
The following is a PBE calculation of a geometry-optimized Tb5Pr2SmSc structure, from Alexandria via LeMat-Bulk.

Geometry as POSCAR:
```
Tb5Pr2SmSc
1.0
-0.7104 -0.2339 5.5678
10.2385 -0.5196 -1.5496
0.6092 10.4625 0.5173
Tb Pr Sm Sc
10 4 2 2
Cartesian
7.4077 -0.2815 0.9333
4.5668 8.1941 3.7611
10.0020 7.1395 1.5761
6.2897 6.9736 1.0955
9.5193 4.6826 4.2455
2.4477 5.1490 3.3628
5.6578 3.0128 0.8485
0.1246 2.3849 2.9502
3.7899 1.7438 3.3910
0.3349 0.1630 0.0496
7.7786 7.9107 4.1590
2.7245 7.5347 0.6642
2.4371 3.1436 0.4430
7.3936 1.8433 3.8550
2.0033 9.8113 3.5020
8.3897 4.2890 1.2507
5.9590 4.8751 3.7993
3.8909 -0.1027 0.4921
```

Calculated values
E_form   0.15 eV/atom

***

2.
The following is a PBE calculation of a geometry-optimized Tb2PrSmSc structure, from Alexandria via LeMat-Bulk.

Geometry as POSCAR:
```
Tb2PrSmSc
1.0
5.0359 0.0000 0.0000
0.0000 7.7015 1.7709
0.0000 -1.7315 7.7362
Tb Pr Sm Sc
4 2 2 2
Cartesian
3.7770 5.5103 5.7590
3.7770 3.3325 8.5176
1.2590 0.4597 3.7482
1.2590 2.6375 0.9895
1.2590 5.2868 3.3186
3.7770 0.6831 6.1885
1.2590 5.8056 8.2278
3.7770 0.1644 1.2793
1.2590 3.0980 5.9928
3.7770 2.8720 3.5143
```

Calculated values
E_form   0.05 eV/atom

***

3.
The following is a PBE calculation of a geometry-optimized Tb6Pr2Sm3Sc structure, from Alexandria via LeMat-Bulk.

Geometry as POSCAR:
```
Tb6Pr2Sm3Sc
1.0
-5.8987 -1.8823 0.1869
4.5067 -4.0591 -1.2592
1.5642 -0.3397 11.7674
Tb Pr Sm Sc
6 2 3 1
Cartesian
-1.5884 -4.3681 8.2698
-0.6576 -4.5566 2.1272
1.7607 -1.9130 2.4253
1.8428 -5.0859 7.7930
0.8299 -1.7245 8.5679
-1.6705 -1.1952 2.9022
1.0350 -3.3328 -0.7767
-2.4269 -2.6086 -0.2956
3.5570 -3.8667 4.8652
-3.3848 -2.4144 5.8299
0.0861 -3.1405 5.3476
0.0000 0.0000 0.0000
```

Calculated values
E_form   0.02 eV/atom

***

4.
The following is a PBE calculation of a geometry-optimized Tb2Pr4SmSc structure, from Alexandria via LeMat-Bulk.

Geometry as POSCAR:
```
Tb2Pr4SmSc
1.0
5.1478 0.0000 0.0000
0.0000 4.9470 1.3551
0.0000 2.2911 11.0583
Tb Pr Sm Sc
2 4 1 1
Cartesian
0.0000 2.2911 11.0583
2.5739 1.1456 5.5291
0.0001 5.4433 9.2469
5.1478 1.7948 3.1665
2.5740 4.2687 3.8444
2.5739 2.9694 8.5690
2.5739 2.4735 0.6776
0.0000 3.6190 6.2067
```

Calculated values
E_form   0.03 eV/atom